# 1
First-principles (GGA+U) data for a geometry-optimized NiI2BrO structure, as listed in Alexandria via LeMat-Bulk.

## Properties
The energy above the most stable polymorph in this dataset is 0.5347 eV per atom. The space-group type is No. 123. The total energy comes out at -1.71 eV/atom.

a = 5.8589 Å, b = 5.8589 Å, c = 3.9872 Å
α = 90.00°, β = 90.00°, γ = 90.00°
Fractional positions:
1 Br 0.0000 0.0000 0.0000
2 O 0.0000 0.0000 0.5000
3 I 0.0000 0.5000 0.0000
4 I 0.5000 0.0000 0.0000
5 Ni 0.5000 0.5000 0.5000



# 2
First-principles (GGA+U) data for a geometry-optimized NiI2BrO structure, as listed in Alexandria via LeMat-Bulk.

## Properties
The energy above the most stable polymorph in this dataset is 0.0000 eV per atom. The space-group type is No. 123. The total energy comes out at -2.24 eV/atom.

a = 6.0935 Å, b = 6.0935 Å, c = 3.4697 Å
α = 90.00°, β = 90.00°, γ = 90.00°
Fractional positions:
1 Br 0.5000 0.5000 0.5000
2 I 0.0000 0.5000 0.0000
3 I 0.5000 0.0000 0.0000
4 O 0.0000 0.0000 0.5000
5 Ni 0.0000 0.0000 0.0000



What did the first record say?
First-principles (GGA+U) data for a geometry-optimized NiI2BrO structure, as listed in Alexandria via LeMat-Bulk.

## Properties
The energy above the most stable polymorph in this dataset is 0.5347 eV per atom. The space-group type is No. 123. The total energy comes out at -1.71 eV/atom.

a = 5.8589 Å, b = 5.8589 Å, c = 3.9872 Å
α = 90.00°, β = 90.00°, γ = 90.00°
Fractional positions:
1 Br 0.0000 0.0000 0.0000
2 O 0.0000 0.0000 0.5000
3 I 0.0000 0.5000 0.0000
4 I 0.5000 0.0000 0.0000
5 Ni 0.5000 0.5000 0.5000